Material: MnSnIrSe
Method: DFT, PBE
State: optimized geometry

Geometry as extended XYZ:
```
4
Lattice="1.858 1.073 7.097 -1.858 1.073 7.097 0.000 -2.146 7.097" Properties=species:S:1:pos:R:3 pbc="T T T"
Mn 0.000 0.000 0.000
Sn 0.000 0.000 3.006
Ir 0.000 0.000 15.633
Se 0.000 0.000 5.873
```

## Properties
- Fermi-level density of states (states/eV/f.u.) = 2.06
- mass density (g/cm³) = 8.7
- VASP energy (eV per atom) = -6.447
- formation energy (no corrections) (eV/atom) = -0.0674